Entry from Alexandria: BaSb3Pb3 after structural relaxation (PBE). Values from VASP.

```
&SYSTEM
  ibrav = 0, nat = 14, ntyp = 3
/
ATOMIC_SPECIES
Ba 137.33 Ba.upf
Pb 207.20 Pb.upf
Sb 121.76 Sb.upf
ATOMIC_POSITIONS crystal
Ba 0.250 0.333 0.667
Ba 0.750 0.667 0.333
Pb 0.750 0.681 0.957
Pb 0.750 0.043 0.725
Pb 0.250 0.957 0.275
Pb 0.250 0.319 0.043
Pb 0.750 0.275 0.319
Pb 0.250 0.725 0.681
Sb 0.750 0.046 0.424
Sb 0.250 0.621 0.046
Sb 0.250 0.954 0.576
Sb 0.250 0.424 0.379
Sb 0.750 0.379 0.954
Sb 0.750 0.576 0.621
CELL_PARAMETERS angstrom
-0.369 5.823 -0.712
-10.145 -0.421 1.813
6.584 1.374 7.820
```

Values from the calculation:
ΔE_f (raw) in eV/atom: -0.23
Electronic total energy in eV/atom: -3.864
Distance to the lowest polymorph of the same formula in eV per atom: 0.0074